NaBS2 | PBE | relaxed

## Properties
ΔE_f (raw) = -671.1 meV/atom

Lattice parameters (Å, degrees): 4.5867 4.5867 18.0631 90.00 90.00 120.00
Space group R-3m (No. 166, hexagonal axes)
Asymmetric unit:
Na 0.0000 0.0000 0.0000 [3 per cell]
B 0.0000 0.0000 0.5000 [3 per cell]
S 0.0000 0.0000 0.4072 [6 per cell]


NaBS3 | PBE | relaxed

## Properties
ΔE_f (raw) = -505.6 meV/atom

Lattice parameters (Å, degrees): 16.970 5.321 9.499 90.00 121.23 90.00
Space group C2/m (No. 12)
Asymmetric unit:
Na 0.213 0.000 0.333 [4 per cell]
B 0.013 0.500 0.394 [4 per cell]
S 0.026 0.500 0.221 [4 per cell]
S 0.099 0.500 0.615 [4 per cell]
S 0.167 0.500 0.311 [4 per cell]


NaB3S | PBE | relaxed

## Properties
ΔE_f (raw) = 1683.4 meV/atom

Lattice parameters (Å, degrees): 3.982 3.982 3.982 90.00 90.00 90.00
Space group Pm-3m (No. 221)
Asymmetric unit:
Na 0.000 0.000 0.000 [1 per cell]
B 0.000 0.500 0.500 [3 per cell]
S 0.500 0.500 0.500 [1 per cell]


NaB4S7 | PBE | relaxed

## Properties
ΔE_f (raw) = -426.4 meV/atom

Lattice parameters (Å, degrees): 13.185 5.542 5.279 90.00 90.00 90.00
Space group Pmn2_1 (No. 31)
Asymmetric unit:
Na 0.000 0.190 0.000 [2 per cell]
B 0.124 0.667 0.584 [4 per cell]
B 0.248 0.174 0.564 [4 per cell]
S 0.000 0.818 0.471 [2 per cell]
S 0.126 0.339 0.480 [4 per cell]
S 0.126 0.709 0.945 [4 per cell]
S 0.240 0.841 0.443 [4 per cell]


Na3BS3 | PBE | relaxed

## Properties
ΔE_f (raw) = -952.5 meV/atom

Lattice parameters (Å, degrees): 11.894 6.686 8.452 90.00 118.07 90.00
Space group C2/c (No. 15)
Asymmetric unit:
Na 0.096 0.218 0.004 [8 per cell]
Na 0.250 0.250 0.500 [4 per cell]
B 0.000 0.422 0.250 [4 per cell]
S 0.000 0.143 0.250 [4 per cell]
S 0.135 0.442 0.753 [8 per cell]


NaBS3 | PBE | relaxed

## Properties
ΔE_f (raw) = 1761.3 meV/atom

Lattice parameters (Å, degrees): 5.088 5.088 5.088 90.00 90.00 90.00
Space group Pm-3m (No. 221)
Asymmetric unit:
Na 0.000 0.000 0.000 [1 per cell]
B 0.500 0.500 0.500 [1 per cell]
S 0.000 0.000 0.500 [3 per cell]